# AcYThTl

A geometry-optimized AcYThTl structure (PBE, the Alexandria database).

a b c (Å): 5.662 5.662 5.662
angles (deg): 60.00 60.00 60.00
Sites, in units of the cell vectors:
Y 0.500 0.500 0.500
Tl 0.250 0.250 0.250
Th 0.000 0.000 0.000
Ac 0.750 0.750 0.750

Properties
The final energy comes out at -0.183 Ha/atom. As for the space group: F-43m, No. 216.



# AcThTlZn

A geometry-optimized AcThTlZn structure (PBE, the Alexandria database).

a b c (Å): 5.536 5.536 5.536
angles (deg): 60.00 60.00 60.00
Sites, in units of the cell vectors:
Th 0.250 0.250 0.250
Tl 0.500 0.500 0.500
Ac 0.750 0.750 0.750
Zn 0.000 0.000 0.000

Properties
The final energy comes out at -0.144 Ha/atom. As for the space group: F-43m, No. 216.



# Ac2TmTh

A geometry-optimized Ac2TmTh structure (PBE, the Alexandria database).

a b c (Å): 5.319 5.309 5.309
angles (deg): 90.00 90.00 90.00
Sites, in units of the cell vectors:
Ac 0.000 0.000 0.500
Ac 0.000 0.500 0.000
Tm 0.500 0.000 0.000
Th 0.500 0.500 0.500

Properties
Its distance to the lowest polymorph of the same formula is 0.00 eV/f.u. As for the space group: P4/mmm, No. 123.



# Ac2TmTh

A geometry-optimized Ac2TmTh structure (PBE, the Alexandria database).

a b c (Å): 5.977 5.977 5.977
angles (deg): 60.00 60.00 60.00
Sites, in units of the cell vectors:
Ac 0.750 0.750 0.750
Ac 0.250 0.250 0.250
Th 0.500 0.500 0.500
Tm 0.000 0.000 0.000

Properties
Its distance to the lowest polymorph of the same formula is 0.53 eV/f.u. As for the space group: Fm-3m, No. 225.



# AcTm2Th

A geometry-optimized AcTm2Th structure (PBE, the Alexandria database).

a b c (Å): 3.859 5.929 5.929
angles (deg): 90.00 90.00 90.00
Sites, in units of the cell vectors:
Ac 0.500 0.000 0.000
Th 0.500 0.500 0.500
Tm 0.000 0.000 0.500
Tm 0.000 0.500 0.000

Properties
Its distance to the lowest polymorph of the same formula is 0.33 eV/f.u. As for the space group: P4/mmm, No. 123.



# AcTm2Th

A geometry-optimized AcTm2Th structure (PBE, the Alexandria database).

a b c (Å): 3.653 3.653 11.914
angles (deg): 81.18 81.18 60.00
Sites, in units of the cell vectors:
Tm 0.078 0.078 0.766
Tm 0.255 0.255 0.235
Th 0.666 0.666 0.001
Ac 0.500 0.500 0.499

Properties
Its distance to the lowest polymorph of the same formula is 0.13 eV/f.u. As for the space group: R3m, No. 160.



# AcTm2Th

A geometry-optimized AcTm2Th structure (PBE, the Alexandria database).

a b c (Å): 3.576 3.576 12.712
angles (deg): 81.91 81.91 60.00
Sites, in units of the cell vectors:
Tm 0.906 0.906 0.282
Tm 0.094 0.094 0.718
Ac 0.000 0.000 0.000
Th 0.500 0.500 0.500

Properties
Its distance to the lowest polymorph of the same formula is 0.55 eV/f.u. As for the space group: R-3m, No. 166.



# AcTm2Th

A geometry-optimized AcTm2Th structure (PBE, the Alexandria database).

a b c (Å): 3.687 3.687 9.982
angles (deg): 90.00 90.00 90.00
Sites, in units of the cell vectors:
Ac 0.500 0.500 0.500
Th 0.500 0.500 0.000
Tm 0.000 0.000 0.769
Tm 0.000 0.000 0.231

Properties
Its distance to the lowest polymorph of the same formula is 0.00 eV/f.u. As for the space group: P4/mmm, No. 123.